PaTiGe: optimized geometry, PBE.

Results
calculated volume	62.6	Å³/f.u.
N(E_F)	8.66	states/eV per cell
polymorph energy (0 for the lowest one)	21.9	kJ per mole of atoms
formation enthalpy at 0 K	-0.1712	eV per atom
total magnetic moment	0.00	μB per formula unit
raw total energy	-7.51	eV per atom
space-group type	No. 166

Cell: 4.3353 4.3353 8.0867 Å, 74.45 74.45 60.00°
Closest atoms and distances in Å follow each position.
Fractional positions:
Ti 0.7132 0.7132 0.8605  4 Ge 2.55-2.63
Ti 0.2868 0.2868 0.1395  4 Ge 2.55-2.63
Ge 0.5990 0.5990 0.2030  4 Ti 2.55-2.63
Ge 0.4010 0.4010 0.7970  4 Ti 2.55-2.63
Pa 0.1386 0.1386 0.5841  3 Pa 2.82, 3 Ge 2.99
Pa 0.8614 0.8614 0.4159  3 Pa 2.82, 3 Ge 2.99